Arrangement P

Rb3BaSn: relaxed, GGA-PBE.

Cell: 7.220 7.220 7.220 Å, 90.00 90.00 90.00°
Space group Pm-3m (No. 221)
Unique sites:
Rb1 0.000 0.000 0.500
Ba1 0.500 0.500 0.500
Sn1 0.000 0.000 0.000

Arrangement Q

Rb3BaSn: relaxed, GGA-PBE.

Cell: 7.125 7.125 7.125 Å, 90.00 90.00 90.00°
Space group Pm-3m (No. 221)
Unique sites:
Rb1 0.000 0.000 0.500
Ba1 0.000 0.000 0.000
Sn1 0.500 0.500 0.500

Compare the structures above. Which one is the least stable? arrangement Q is.